VASP calculation (PBE) on a geometry-optimized YScHg2 structure.

Cell: 5.914 5.914 5.088 Å, 106.24 106.24 35.30°
Fractional coordinates of all 4 atoms:
Y  0.000  0.000  0.000
Sc  0.765  0.765  0.348
Hg  0.250  0.250  0.844
Hg  0.520  0.520  0.502

Values from the calculation:
- E (eV/atom) = -3.683
- energy of formation from the pure elements (meV per atom) = -333
- density of states at the Fermi level (states/eV per cell) = 3.9

VASP calculation (PBE) on a geometry-optimized Te2RuPb structure.

Cell: 7.250 7.250 7.250 Å, 153.64 142.07 46.78°
Fractional coordinates of all 4 atoms:
Te  0.000  0.000  0.000
Te  0.690  0.190  0.500
Ru  0.534  0.534  0.000
Pb  0.333  0.833  0.500

Values from the calculation:
- formation energy from raw total energies (kJ/mol of formula units) = 51
- E (eV/atom) = -4.685
- density of states at the Fermi level (states/eV per cell) = 2.8

VASP calculation (PBE) on a geometry-optimized HoMgPt2 structure.

Cell: 4.651 4.651 3.466 Å, 90.00 90.00 90.00°
Fractional coordinates of all 4 atoms:
Ho  0.000  0.000  0.000
Mg  0.500  0.500  0.000
Pt  0.000  0.500  0.500
Pt  0.500  0.000  0.500

Values from the calculation:
- E (eV/atom) = -5.590
- energy of formation from the pure elements (meV per atom) = -1027
- density of states at the Fermi level (states/eV per cell) = 1.4

VASP calculation (PBE) on a geometry-optimized Y2PSe structure.

Cell: 4.983 4.983 4.983 Å, 60.00 60.00 60.00°
Fractional coordinates of all 4 atoms:
Y  0.250  0.250  0.250
Y  0.750  0.750  0.750
P  0.000  0.000  0.000
Se  0.500  0.500  0.500

Values from the calculation:
- formation energy from raw total energies (kJ/mol of formula units) = -506
- E (eV/atom) = -6.768
- density of states at the Fermi level (states/eV per cell) = 3.8

VASP calculation (PBE) on a geometry-optimized TcAg2Ir2 structure.

Cell: 7.718 7.718 2.788 Å, 90.00 90.00 90.00°
Fractional coordinates of all 10 atoms:
Tc  0.000  0.000  0.000
Tc  0.500  0.500  0.000
Ag  0.122  0.378  0.000
Ag  0.378  0.878  0.000
Ag  0.622  0.122  0.000
Ag  0.878  0.622  0.000
Ir  0.178  0.678  0.500
Ir  0.322  0.178  0.500
Ir  0.678  0.822  0.500
Ir  0.822  0.322  0.500

Values from the calculation:
- E (eV/atom) = -5.763
- energy of formation from the pure elements (meV per atom) = 995
- density of states at the Fermi level (states/eV per cell) = 13.3

VASP calculation (PBE) on a geometry-optimized ErIn6Ni6 structure.

Cell: 6.952 6.952 6.952 Å, 135.16 99.72 97.01°
Fractional coordinates of all 13 atoms:
Er  0.000  0.000  0.000
In  0.178  0.678  0.500
In  0.331  0.000  0.331
In  0.341  0.341  0.000
In  0.659  0.659  0.000
In  0.669  0.000  0.669
In  0.822  0.322  0.500
Ni  0.000  0.000  0.500
Ni  0.000  0.500  0.000
Ni  0.238  0.500  0.738
Ni  0.500  0.000  0.000
Ni  0.500  0.500  0.500
Ni  0.762  0.500  0.262

Values from the calculation:
- E (eV/atom) = -4.499
- energy of formation from the pure elements (meV per atom) = -216
- density of states at the Fermi level (states/eV per cell) = 9.0

VASP calculation (PBE) on a geometry-optimized La2ErScSb4 structure.

Cell: 7.664 4.460 7.717 Å, 90.00 109.63 90.00°
Fractional coordinates of all 8 atoms:
La  0.000  0.000  0.000
La  0.000  0.500  0.500
Er  0.500  0.000  0.500
Sc  0.500  0.500  0.000
Sb  0.270  0.500  0.251
Sb  0.274  0.000  0.763
Sb  0.726  0.000  0.237
Sb  0.730  0.500  0.749

Values from the calculation:
- formation energy from raw total energies (kJ/mol of formula units) = -870
- E (eV/atom) = -5.782
- density of states at the Fermi level (states/eV per cell) = 1.2

VASP calculation (PBE) on a geometry-optimized MgMn2ZnC structure.

Cell: 3.849 3.849 4.258 Å, 90.00 90.00 90.00°
Fractional coordinates of all 5 atoms:
Mg  0.000  0.000  0.000
Mn  0.000  0.500  0.500
Mn  0.500  0.000  0.500
Zn  0.500  0.500  0.000
C  0.000  0.000  0.500

Values from the calculation:
- E (eV/atom) = -6.015
- energy of formation from the pure elements (meV per atom) = 72
- density of states at the Fermi level (states/eV per cell) = 2.7

What is the density of states at the Fermi level in the seventh record? 1.2 states/eV per cell

Number 1 is which compound? YScHg2

What did the second record say?
VASP calculation (PBE) on a geometry-optimized Te2RuPb structure.

Cell: 7.250 7.250 7.250 Å, 153.64 142.07 46.78°
Fractional coordinates of all 4 atoms:
Te  0.000  0.000  0.000
Te  0.690  0.190  0.500
Ru  0.534  0.534  0.000
Pb  0.333  0.833  0.500

Values from the calculation:
- formation energy from raw total energies (kJ/mol of formula units) = 51
- E (eV/atom) = -4.685
- density of states at the Fermi level (states/eV per cell) = 2.8